(1)
A plane-wave DFT calculation with PBE-GGA was carried out for a relaxed structure of TbPm12Tm7.

```
20
Lattice="6.028 3.480 5.368 -6.028 3.480 5.368 0.000 -6.961 5.368" Properties=species:S:1:pos:R:3 pbc="T T T"
Tb 0.000 0.000 0.000
Pm -1.933 -0.587 4.663
Pm -0.744 -3.260 7.159
Pm -3.195 -0.986 8.945
Pm 1.475 -1.380 4.663
Pm -2.451 2.275 7.159
Pm 0.458 1.967 4.663
Pm -0.458 -1.967 11.441
Pm 2.451 -2.275 8.945
Pm -1.475 1.380 11.441
Pm 3.195 0.986 7.159
Pm 0.744 3.260 8.945
Pm 1.933 0.587 11.441
Tm -5.299 0.565 6.712
Tm -3.139 -4.307 9.392
Tm 2.161 -4.872 6.712
Tm 0.000 0.000 8.052
Tm -2.161 4.872 9.392
Tm 3.139 4.307 6.712
Tm 5.299 -0.565 9.392
```

Summary:
As for the relative energy among the computed polymorphs: 0 meV/atom. As for the electronic total energy: -4.420 eV/atom. For the formation energy, the calculation gives 4.539 eV per formula unit.


(2)
A plane-wave DFT calculation with PBE-GGA was carried out for a relaxed structure of Tb5Pm6Tm.

```
12
Lattice="3.123 -5.406 0.000 3.123 5.406 0.000 -2.071 0.000 11.684" Properties=species:S:1:pos:R:3 pbc="T T T"
Tb 0.000 0.000 0.000
Tb 2.088 3.604 5.842
Tb 3.123 1.801 0.000
Tb 3.123 -1.801 0.000
Tb 2.088 -3.604 5.842
Pm 1.045 1.799 2.930
Pm 0.011 0.000 8.758
Pm 1.045 -1.799 2.930
Pm 3.130 1.799 8.754
Pm 4.164 0.000 2.926
Pm 3.130 -1.799 8.754
Tm 2.088 0.000 5.842
```

Summary:
As for the relative energy among the computed polymorphs: 0 meV/atom. As for the electronic total energy: -4.665 eV/atom. For the formation energy, the calculation gives 0.147 eV per formula unit.


(3)
A plane-wave DFT calculation with PBE-GGA was carried out for a relaxed structure of Tb8Pm4Tm3.

```
15
Lattice="3.473 2.005 11.823 -3.473 2.005 11.823 0.000 -4.010 11.823" Properties=species:S:1:pos:R:3 pbc="T T T"
Tb 0.000 0.000 8.675
Tb -1.746 -1.008 20.638
Tb 0.000 -2.016 14.831
Tb -1.746 1.008 14.831
Tb 1.746 -1.008 20.638
Tb 0.000 2.016 20.638
Tb 1.746 1.008 14.831
Tb 0.000 0.000 26.794
Pm 0.000 0.000 0.000
Pm 0.000 0.000 11.934
Pm 0.000 0.000 17.735
Pm 0.000 0.000 23.535
Tm -3.473 0.000 17.735
Tm -1.736 1.002 5.911
Tm 1.736 1.002 5.912
```

Summary:
As for the relative energy among the computed polymorphs: 0 meV/atom. As for the electronic total energy: -4.508 eV/atom. For the formation energy, the calculation gives 1.836 eV per formula unit.


(4)
A plane-wave DFT calculation with PBE-GGA was carried out for a relaxed structure of Tb7Pm6Tm16.

```
29
Lattice="0.000 7.844 7.844 7.844 0.000 7.844 7.844 7.844 0.000" Properties=species:S:1:pos:R:3 pbc="T T T"
Tb 0.000 0.000 0.000
Tb 3.922 3.922 0.000
Tb 3.922 0.000 3.922
Tb 7.844 3.922 3.922
Tb 0.000 3.922 3.922
Tb 3.922 7.844 3.922
Tb 3.922 3.922 7.844
Pm 7.844 7.844 4.219
Pm 7.844 4.219 7.844
Pm 11.470 7.844 7.844
Pm 4.219 7.844 7.844
Pm 7.844 11.470 7.844
Pm 7.844 7.844 11.470
Tm 10.201 5.488 5.488
Tm 2.000 2.000 2.000
Tm 5.845 5.845 2.000
Tm 5.845 2.000 5.845
Tm 5.488 5.488 5.488
Tm 10.201 10.201 5.488
Tm 10.201 5.488 10.201
Tm 13.689 9.844 9.844
Tm 2.000 5.845 5.845
Tm 5.488 10.201 5.488
Tm 5.488 5.488 10.201
Tm 10.201 10.201 10.201
Tm 9.844 13.689 9.844
Tm 9.844 9.844 13.689
Tm 13.689 13.689 13.689
Tm 5.488 10.201 10.201
```

Summary:
As for the electronic total energy: -4.322 eV/atom. For the formation energy, the calculation gives 7.119 eV per formula unit.


(5)
A plane-wave DFT calculation with PBE-GGA was carried out for a relaxed structure of Tb3PmTm2.

```
12
Lattice="11.508 -1.747 0.000 11.508 1.747 0.000 -3.221 0.000 9.685" Properties=species:S:1:pos:R:3 pbc="T T T"
Tb -0.038 0.000 4.279
Tb 2.209 0.000 6.923
Tb 9.207 0.000 2.265
Tb 10.588 0.000 7.420
Tb 17.586 0.000 2.762
Tb 19.833 0.000 5.406
Pm 4.113 0.000 0.395
Pm 15.682 0.000 9.290
Tm 3.243 0.000 3.621
Tm 7.138 0.000 8.322
Tm 12.657 0.000 1.362
Tm 16.552 0.000 6.063
```

Summary:
As for the relative energy among the computed polymorphs: 128 meV/atom. As for the electronic total energy: -4.474 eV/atom. For the formation energy, the calculation gives 0.742 eV per formula unit.


(6)
A plane-wave DFT calculation with PBE-GGA was carried out for a relaxed structure of Tb2Pm5Tm6.

```
26
Lattice="11.588 0.000 0.000 0.000 20.392 0.000 0.000 0.000 3.572" Properties=species:S:1:pos:R:3 pbc="T T T"
Tb 1.979 4.289 0.000
Tb 3.815 14.485 0.000
Tb 7.773 5.907 0.000
Tb 9.609 16.103 0.000
Pm 0.000 10.196 1.786
Pm 0.973 15.752 1.786
Pm 2.302 1.002 1.786
Pm 3.492 11.197 1.786
Pm 4.821 5.556 1.786
Pm 5.794 0.000 1.786
Pm 6.767 14.836 1.786
Pm 8.096 9.194 1.786
Pm 9.286 19.390 1.786
Pm 10.615 4.640 1.786
Tm 0.709 18.730 0.000
Tm 0.934 12.866 0.000
Tm 2.034 7.398 1.786
Tm 3.760 17.594 1.786
Tm 4.860 2.670 0.000
Tm 5.085 8.534 0.000
Tm 6.503 11.858 0.000
Tm 6.728 17.722 0.000
Tm 7.828 2.798 1.786
Tm 9.554 12.994 1.786
Tm 10.654 7.526 0.000
Tm 10.879 1.662 0.000
```

Summary:
As for the electronic total energy: -4.507 eV/atom. For the formation energy, the calculation gives 1.249 eV per formula unit.


(7)
A plane-wave DFT calculation with PBE-GGA was carried out for a relaxed structure of Tb2PmTm9.

```
12
Lattice="5.810 0.000 0.000 0.000 5.810 0.000 0.000 0.000 11.018" Properties=species:S:1:pos:R:3 pbc="T T T"
Tb 0.000 0.000 1.827
Tb 0.000 0.000 9.191
Pm 0.000 0.000 5.509
Tm 0.000 2.905 0.000
Tm 0.000 2.905 3.649
Tm 0.000 2.905 7.369
Tm 2.905 0.000 0.000
Tm 2.905 0.000 3.649
Tm 2.905 0.000 7.369
Tm 2.905 2.905 1.835
Tm 2.905 2.905 5.509
Tm 2.905 2.905 9.183
```

Summary:
As for the relative energy among the computed polymorphs: 80 meV/atom. As for the electronic total energy: -4.392 eV/atom. For the formation energy, the calculation gives 1.548 eV per formula unit.


(8)
A plane-wave DFT calculation with PBE-GGA was carried out for a relaxed structure of Tb3Pm4Tm.

```
8
Lattice="11.755 -1.747 0.000 11.755 1.747 0.000 -1.955 0.000 6.516" Properties=species:S:1:pos:R:3 pbc="T T T"
Tb 0.000 0.000 0.000
Tb 2.133 0.000 2.490
Tb 19.422 0.000 4.026
Pm 1.209 0.000 5.648
Pm 5.584 0.000 1.715
Pm 15.971 0.000 4.801
Pm 20.346 0.000 0.868
Tm 10.778 0.000 3.258
```

Summary:
As for the relative energy among the computed polymorphs: 138 meV/atom. As for the electronic total energy: -4.508 eV/atom. For the formation energy, the calculation gives 1.301 eV per formula unit.


(9)
A plane-wave DFT calculation with PBE-GGA was carried out for a relaxed structure of Tb3PmTm2.

```
12
Lattice="7.153 0.000 0.000 3.574 6.202 0.000 1.788 1.045 8.568" Properties=species:S:1:pos:R:3 pbc="T T T"
Tb 1.788 1.039 1.405
Tb 3.574 2.078 4.295
Tb 7.150 6.208 7.158
Tb 5.364 1.039 1.410
Tb 8.941 5.169 4.273
Tb 10.727 6.207 7.164
Pm 5.361 5.166 4.268
Pm 7.154 2.081 4.301
Tm 3.573 4.127 1.412
Tm 5.361 3.117 7.161
Tm 7.154 4.130 1.407
Tm 8.942 3.120 7.157
```

Summary:
As for the relative energy among the computed polymorphs: 0 meV/atom. As for the electronic total energy: -4.602 eV/atom. For the formation energy, the calculation gives -0.025 eV per formula unit.


(10)
A plane-wave DFT calculation with PBE-GGA was carried out for a relaxed structure of Tb7PmTm5.

```
13
Lattice="-3.321 5.587 5.740 3.321 -5.587 5.740 3.321 5.587 -5.740" Properties=species:S:1:pos:R:3 pbc="T T T"
Tb 0.000 0.000 0.000
Tb 3.321 -1.931 2.845
Tb 0.000 0.000 3.517
Tb 3.321 1.931 2.845
Tb 3.321 0.000 5.700
Tb 0.000 3.658 2.868
Tb 0.000 7.515 2.868
Pm 0.000 0.000 7.984
Tm 1.758 3.010 -0.016
Tm 1.563 -2.576 5.723
Tm 1.758 8.163 -0.016
Tm 1.563 2.576 5.723
Tm 0.000 5.587 5.731
```

Summary:
As for the electronic total energy: -4.330 eV/atom. For the formation energy, the calculation gives 3.226 eV per formula unit.


(11)
A plane-wave DFT calculation with PBE-GGA was carried out for a relaxed structure of Tb4Pm5Tm4.

```
13
Lattice="-6.447 6.447 2.520 6.447 -6.447 2.520 6.447 6.447 -2.520" Properties=species:S:1:pos:R:3 pbc="T T T"
Tb 2.998 1.993 0.000
Tb 4.454 -3.449 2.520
Tb 1.993 9.896 0.000
Tb 3.449 4.454 2.520
Pm 0.000 0.000 0.000
Pm 5.953 3.931 0.000
Pm 2.516 -0.494 2.520
Pm 3.931 6.941 0.000
Pm 0.494 2.516 2.520
Tm 7.909 0.975 0.000
Tm 0.975 4.985 0.000
Tm 5.473 1.462 2.520
Tm -1.462 5.473 2.520
```

Summary:
As for the electronic total energy: -4.609 eV/atom. For the formation energy, the calculation gives 0.249 eV per formula unit.


(12)
A plane-wave DFT calculation with PBE-GGA was carried out for a relaxed structure of TbPm4Tm10.

```
15
Lattice="-6.062 6.062 3.823 6.062 -6.062 3.823 6.062 6.062 -3.823" Properties=species:S:1:pos:R:3 pbc="T T T"
Tb 0.000 0.000 0.000
Pm 4.842 2.436 0.000
Pm 3.626 -1.219 3.823
Pm 2.436 7.281 0.000
Pm 1.219 3.626 3.823
Tm 7.262 3.649 -1.924
Tm 3.649 4.862 -1.924
Tm 6.062 0.000 1.912
Tm 2.413 1.200 1.899
Tm -1.200 2.413 1.899
Tm 7.262 3.649 1.924
Tm 3.649 4.862 1.924
Tm 0.000 6.062 1.912
Tm 2.413 1.200 5.747
Tm -1.200 2.413 5.747
```

Summary:
As for the electronic total energy: -3.794 eV/atom. For the formation energy, the calculation gives 11.445 eV per formula unit.


(13)
A plane-wave DFT calculation with PBE-GGA was carried out for a relaxed structure of Tb9Pm4Tm11.

```
24
Lattice="8.288 -12.478 0.000 8.288 12.478 0.000 0.000 0.000 3.679" Properties=species:S:1:pos:R:3 pbc="T T T"
Tb 0.000 0.000 0.000
Tb 6.590 6.594 0.000
Tb 5.988 1.828 0.000
Tb 9.987 6.594 0.000
Tb 5.988 -1.828 0.000
Tb 10.589 1.828 0.000
Tb 6.590 -6.594 0.000
Tb 10.589 -1.828 0.000
Tb 9.987 -6.594 0.000
Pm 2.551 2.495 0.000
Pm 2.551 -2.495 0.000
Pm 14.026 2.495 0.000
Pm 14.026 -2.495 0.000
Tm 4.540 4.521 1.839
Tm 8.288 9.075 1.839
Tm 3.555 0.000 1.839
Tm 8.288 3.982 1.839
Tm 4.540 -4.521 1.839
Tm 8.288 0.000 1.839
Tm 12.037 4.521 1.839
Tm 8.288 -3.982 1.839
Tm 13.022 0.000 1.839
Tm 8.288 -9.075 1.839
Tm 12.037 -4.521 1.839
```

Summary:
As for the electronic total energy: -4.523 eV/atom. For the formation energy, the calculation gives 1.311 eV per formula unit.


(14)
A plane-wave DFT calculation with PBE-GGA was carried out for a relaxed structure of TbPm2Tm2.

```
5
Lattice="3.093 -1.785 0.000 3.093 1.785 0.000 -0.024 0.000 14.526" Properties=species:S:1:pos:R:3 pbc="T T T"
Tb 0.000 0.000 0.000
Pm 2.040 0.000 8.786
Pm 4.122 0.000 5.740
Tm 2.062 0.000 2.850
Tm 4.100 0.000 11.676
```

Summary:
As for the relative energy among the computed polymorphs: 8 meV/atom. As for the electronic total energy: -4.588 eV/atom. For the formation energy, the calculation gives 0.137 eV per formula unit.


(15)
A plane-wave DFT calculation with PBE-GGA was carried out for a relaxed structure of Tb8Pm3Tm3.

```
14
Lattice="-2.821 5.398 7.485 2.821 -5.398 7.485 2.821 5.398 -7.485" Properties=species:S:1:pos:R:3 pbc="T T T"
Tb 2.821 -3.684 5.948
Tb 2.821 -1.724 3.310
Tb 0.000 1.715 1.537
Tb 2.821 1.724 3.310
Tb 0.000 3.674 4.175
Tb 2.821 3.684 5.948
Tb 0.000 7.123 4.175
Tb 0.000 9.082 1.537
Pm 0.000 0.000 4.775
Pm 0.000 5.398 0.000
Pm 0.000 0.000 10.195
Tm 2.821 0.000 0.000
Tm 2.821 3.196 0.000
Tm 0.000 2.203 7.485
```

Summary:
As for the electronic total energy: -4.515 eV/atom. For the formation energy, the calculation gives 1.494 eV per formula unit.


(16)
A plane-wave DFT calculation with PBE-GGA was carried out for a relaxed structure of Tb3Pm2Tm4.

```
9
Lattice="7.530 -2.508 0.000 7.530 2.508 0.000 -2.492 0.000 7.530" Properties=species:S:1:pos:R:3 pbc="T T T"
Tb 0.000 0.000 0.000
Tb 0.033 0.000 5.020
Tb 12.535 0.000 2.510
Pm 5.018 0.000 5.036
Pm 7.550 0.000 2.493
Tm 2.525 0.000 2.497
Tm 5.000 0.000 0.009
Tm 7.568 0.000 7.521
Tm 10.042 0.000 5.033
```

Summary:
As for the relative energy among the computed polymorphs: 0 meV/atom. As for the electronic total energy: -4.565 eV/atom. For the formation energy, the calculation gives 0.189 eV per formula unit.


(17)
A plane-wave DFT calculation with PBE-GGA was carried out for a relaxed structure of Tb4Pm3Tm.

```
8
Lattice="11.768 -1.742 0.000 11.768 1.742 0.000 -1.934 0.000 6.476" Properties=species:S:1:pos:R:3 pbc="T T T"
Tb 2.182 0.000 2.484
Tb 5.594 0.000 1.714
Tb 16.009 0.000 4.761
Tb 19.420 0.000 3.992
Pm 0.000 0.000 0.000
Pm 1.272 0.000 5.623
Pm 20.330 0.000 0.853
Tm 10.801 0.000 3.238
```

Summary:
As for the relative energy among the computed polymorphs: 159 meV/atom. As for the electronic total energy: -4.496 eV/atom. For the formation energy, the calculation gives 1.275 eV per formula unit.


(18)
A plane-wave DFT calculation with PBE-GGA was carried out for a relaxed structure of Tb5PmTm2.

```
16
Lattice="7.111 0.000 0.000 0.000 14.225 0.000 0.000 0.000 5.013" Properties=species:S:1:pos:R:3 pbc="T T T"
Tb 0.000 0.000 0.000
Tb 0.011 3.547 0.000
Tb 1.766 12.439 2.506
Tb 1.789 5.326 2.506
Tb 3.545 10.659 0.000
Tb 3.556 7.112 0.000
Tb 3.566 3.565 0.000
Tb 5.322 8.899 2.506
Tb 5.345 1.786 2.506
Tb 7.100 10.678 0.000
Pm 0.000 7.112 0.000
Pm 3.556 0.000 0.000
Tm 1.774 8.898 2.506
Tm 1.782 1.785 2.506
Tm 5.329 12.440 2.506
Tm 5.337 5.327 2.506
```

Summary:
As for the relative energy among the computed polymorphs: 0 meV/atom. As for the electronic total energy: -4.589 eV/atom. For the formation energy, the calculation gives 0.134 eV per formula unit.


In the order shown, the computed DOS(E_F) values come out to 38.02 14.29 22.65 57.48 19.03 31.69 24.14 13.63 14.83 26.52 18.19 22.16 29.74 6.69 21.58 11.71 14.47 20.72 states/eV/cell.
In the order shown, the computed V values come out to 676 395 494 965 389 844 372 268 380 426 419 562 761 160 456 284 265 507 Å³ per cell.